A relaxed structure of Dy3Er3Cd2. Source: Alexandria, functional GGA-PBE.

Computed properties:
formation energy from the elements: -0.054 eV per atom
uncorrected energy: -0.27336 Ry per atom

a b c (Å): 5.1877 6.3420 15.6403
angles (deg): 90.00 90.00 114.14
Closest atoms and distances in Å follow each position.
Fractional positions:
1 Dy 0.9582 0.9165 0.3950  1 Cd 3.17, 2 Dy 3.42-3.43, 2 Er 3.45
2 Dy 0.0418 0.0835 0.8950  1 Cd 3.17, 2 Dy 3.42-3.43, 2 Er 3.45
3 Dy 0.9582 0.9165 0.1050  1 Cd 3.17, 2 Dy 3.42-3.43, 2 Er 3.45
4 Dy 0.0418 0.0835 0.6050  1 Cd 3.17, 2 Dy 3.42-3.43, 2 Er 3.45
5 Dy 0.7364 0.4728 0.2500  4 Cd 3.14, 1 Er 3.28, 2 Dy 3.43
6 Dy 0.2636 0.5272 0.7500  4 Cd 3.14, 1 Er 3.28, 2 Dy 3.43
7 Er 0.6446 0.2891 0.4664  3 Cd 3.04-3.21
8 Er 0.3554 0.7109 0.9664  3 Cd 3.04-3.21
9 Er 0.6446 0.2891 0.0336  3 Cd 3.04-3.21
10 Er 0.3554 0.7109 0.5336  3 Cd 3.04-3.21
11 Er 0.4534 0.9068 0.2500  2 Cd 3.15, 5 Dy 3.28-3.45
12 Er 0.5466 0.0932 0.7500  2 Cd 3.15, 5 Dy 3.28-3.45
13 Cd 0.7712 0.5423 0.8633  4 Er 3.04-3.21, 3 Dy 3.14-3.17
14 Cd 0.2288 0.4577 0.3633  4 Er 3.04-3.21, 3 Dy 3.14-3.17
15 Cd 0.7712 0.5423 0.6367  4 Er 3.04-3.21, 3 Dy 3.14-3.17
16 Cd 0.2288 0.4577 0.1367  4 Er 3.04-3.21, 3 Dy 3.14-3.17